## RbIO2F2 (GGA-PBE)

Data for a relaxed RbIO2F2 crystal.

It has space group Pca2_1 (No. 29), with a = 8.684 Å, b = 6.290 Å, c = 8.761 Å, α = 90.00°, β = 90.00° and γ = 90.00°. The distinct sites, in fractional coordinates, are Rb at (0.208, 0.028, 0.000), I at (0.009, 0.449, 0.721), O at (0.028, 0.629, 0.027), O at (0.206, 0.362, 0.746), F at (0.069, 0.843, 0.299) and F at (0.073, 0.749, 0.656).

For the total moment, the calculation gives 0.0 μB per formula unit. The uncorrected formation energy comes out at -1485 meV per atom.

---

## CsIn2O (GGA-PBE)

Data for a relaxed CsIn2O crystal.

It has space group I-42d (No. 122), with a = 8.211 Å, b = 8.211 Å, c = 7.108 Å, α = 90.00°, β = 90.00° and γ = 90.00°. The distinct sites, in fractional coordinates, are Cs at (0.000, 0.000, 0.000), In at (0.130, 0.250, 0.625) and O at (0.000, 0.000, 0.500).

For the total moment, the calculation gives 0.0 μB per formula unit. The uncorrected formation energy comes out at -331 meV per atom.

---

## B2C (GGA-PBE)

Data for a relaxed B2C crystal.

It has space group C2/m (No. 12), with a = 11.964 Å, b = 2.745 Å, c = 5.635 Å, α = 90.00°, β = 96.26° and γ = 90.00°. The distinct sites, in fractional coordinates, are B at (0.026, 0.000, 0.361), B at (0.100, 0.500, 0.854), B at (0.114, 0.500, 0.470), B at (0.233, 0.500, 0.309), C at (0.039, 0.000, 0.900) and C at (0.206, 0.500, 0.711).

For the total moment, the calculation gives 0.0 μB per formula unit. The formation energy is 346 meV per atom.

---

## CeAlGa2Ni4 (GGA-PBE)

Data for a relaxed CeAlGa2Ni4 crystal.

It has space group R-3m (No. 166, hexagonal axes), with a = 4.0718 Å, b = 4.0718 Å, c = 24.6619 Å, α = 90.00°, β = 90.00° and γ = 120.00°. The distinct sites, in fractional coordinates, are Ce at (0.0000, 0.0000, 0.0000), Al at (0.0000, 0.0000, 0.5000), Ga at (0.0000, 0.0000, 0.2397), Ni at (0.0000, 0.0000, 0.1338) and Ni at (0.0000, 0.0000, 0.4030).

For the total moment, the calculation gives 0.2 μB per formula unit. The formation energy is -484 meV per atom.